Pr8Ho6Pb | PBE | relaxed

Properties
DOS at the Fermi energy: 21.33 states/eV/cell
Raw total energy: -4.561 eV/atom

Cell: 6.651 9.388 9.388 Å, 120.00 90.00 90.00°
Fractional positions:
Pr 0.865 0.333 0.667
Pr 0.823 0.233 0.957
Pr 0.135 0.667 0.333
Pr 0.177 0.957 0.724
Pr 0.823 0.043 0.276
Pr 0.823 0.724 0.767
Pr 0.177 0.276 0.233
Pr 0.177 0.767 0.043
Pb 0.500 0.000 0.000
Ho 0.660 0.652 0.100
Ho 0.340 0.348 0.900
Ho 0.660 0.900 0.552
Ho 0.340 0.552 0.652
Ho 0.340 0.100 0.448
Ho 0.660 0.448 0.348

Rb2Tm2SbSe6 | PBE | relaxed

Properties
DOS at the Fermi energy: 4.01 states/eV/cell
Uncorrected formation energy: -1.291 eV per atom
Raw total energy: -4.556 eV/atom

Cell: 7.118 7.118 8.578 Å, 97.98 97.98 120.07°
Fractional positions:
Tm 0.668 0.332 0.500
Tm 0.332 0.668 0.500
Se 0.394 0.065 0.690
Se 0.065 0.394 0.690
Se 0.935 0.606 0.310
Se 0.733 0.733 0.689
Se 0.267 0.267 0.311
Se 0.606 0.935 0.310
Rb 0.833 0.167 0.000
Rb 0.167 0.833 0.000
Sb 0.000 0.000 0.500

Pm6Pr2Y5 | PBE | relaxed

Properties
DOS at the Fermi energy: 32.09 states/eV/cell
Raw total energy: -5.317 eV/atom

Cell: 3.663 11.858 20.656 Å, 90.00 90.00 90.00°
Fractional positions:
Y 0.500 0.199 0.943
Y 0.500 0.000 0.500
Y 0.500 0.699 0.557
Y 0.500 0.909 0.780
Y 0.500 0.091 0.220
Y 0.500 0.301 0.443
Y 0.500 0.591 0.280
Y 0.500 0.801 0.057
Y 0.500 0.409 0.720
Y 0.500 0.500 0.000
Pm 0.000 0.423 0.864
Pm 0.000 0.077 0.364
Pm 0.500 0.323 0.127
Pm 0.000 0.062 0.075
Pm 0.000 0.438 0.575
Pm 0.000 0.938 0.925
Pm 0.500 0.677 0.873
Pm 0.000 0.923 0.636
Pm 0.500 0.177 0.627
Pm 0.500 0.823 0.373
Pm 0.000 0.562 0.425
Pm 0.000 0.577 0.136
Pr 0.000 0.830 0.217
Pr 0.000 0.170 0.783
Pr 0.000 0.670 0.717
Pr 0.000 0.330 0.283

Which of these has the highest raw total energy? Rb2Tm2SbSe6

Which value of DOS at the Fermi energy does entry 3 give? 32.09 states/eV/cell